Entry 1:
The following is a DFT calculation (PBE-GGA) of a relaxed structure of YHgO2F.

Theoretical density: 6.875 g/cm3
DFT total energy: -4.821 eV per atom

abc: 4.3155 4.3155 4.4163
angles: 90.00 90.00 90.00
With the nearest neighbours (Å) after each atom.
Space group P4/mmm (No. 123)
Asymmetric unit:
Y 0.0000 0.0000 0.0000  4 F 3.05, 8 O 3.09
Hg 0.5000 0.5000 0.5000  4 O 2.16, 2 F 2.21
O 0.0000 0.5000 0.5000  2 Hg 2.16
F 0.5000 0.5000 0.0000  2 Hg 2.21

Entry 2:
The following is a DFT calculation (PBE-GGA) of a relaxed structure of Zn2Hg2OF6.

Theoretical density: 7.332 g/cm3
DFT total energy: -3.501 eV per atom

abc: 10.6249 10.6249 10.6249
angles: 90.00 90.00 90.00
With the nearest neighbours (Å) after each atom.
Space group Fd-3m (No. 227, origin choice 2)
Asymmetric unit:
Zn 0.0000 0.0000 0.0000  6 F 2.04
Hg 0.0000 0.0000 0.5000  2 O 2.30
O 0.1250 0.1250 0.6250  4 Hg 2.30
F 0.0754 0.3750 0.3750  2 Zn 2.04

Entry 3:
The following is a DFT calculation (PBE-GGA) of a relaxed structure of ZrHgO2F.

Theoretical density: 7.526 g/cm3
DFT total energy: -6.318 eV per atom

abc: 4.1979 4.1979 4.2922
angles: 90.00 90.00 90.00
With the nearest neighbours (Å) after each atom.
Space group P4/mmm (No. 123)
Asymmetric unit:
Zr 0.0000 0.0000 0.0000  4 O 2.10, 2 F 2.15
Hg 0.5000 0.5000 0.5000  4 F 2.97, 8 O 3.00
O 0.0000 0.5000 0.0000  2 Zr 2.10
F 0.0000 0.0000 0.5000  2 Zr 2.15

Entry 4:
The following is a DFT calculation (PBE-GGA) of a relaxed structure of ZrHgOF2.

Offset from the most stable computed form: 1.878 eV per atom
Theoretical density: 6.518 g/cm3

abc: 4.5443 4.5443 4.2660
angles: 90.00 90.00 90.00
With the nearest neighbours (Å) after each atom.
Space group P4/mmm (No. 123)
Asymmetric unit:
Zr 0.0000 0.0000 0.0000  8 F 3.12, 4 O 3.21
Hg 0.5000 0.5000 0.5000  2 O 2.13, 4 F 2.27
O 0.5000 0.5000 0.0000  2 Hg 2.13
F 0.0000 0.5000 0.5000  2 Hg 2.27

Entry 5:
The following is a DFT calculation (PBE-GGA) of a relaxed structure of ZrHgO2F.

Theoretical density: 7.100 g/cm3
DFT total energy: -4.507 eV per atom

abc: 4.2281 4.2281 4.4853
angles: 90.00 90.00 90.00
With the nearest neighbours (Å) after each atom.
Space group P4/mmm (No. 123)
Asymmetric unit:
Zr 0.0000 0.0000 0.0000  4 F 2.99, 8 O 3.08
Hg 0.5000 0.5000 0.5000  4 O 2.11, 2 F 2.24
O 0.0000 0.5000 0.5000  2 Hg 2.11
F 0.5000 0.5000 0.0000  2 Hg 2.24

Entry 6:
The following is a DFT calculation (PBE-GGA) of a relaxed structure of ZrHgOF2.

Offset from the most stable computed form: 0.000 eV per atom
Theoretical density: 7.185 g/cm3

abc: 4.4267 4.4267 4.0785
angles: 90.00 90.00 90.00
With the nearest neighbours (Å) after each atom.
Space group P4/mmm (No. 123)
Asymmetric unit:
Zr 0.0000 0.0000 0.0000  2 O 2.04, 4 F 2.21
Hg 0.5000 0.5000 0.5000  8 F 3.01, 4 O 3.13
O 0.0000 0.0000 0.5000  2 Zr 2.04
F 0.0000 0.5000 0.0000  2 Zr 2.21

Entry 7:
The following is a DFT calculation (PBE-GGA) of a relaxed structure of Hg2OsF8.

Theoretical density: 6.975 g/cm3
DFT total energy: -3.965 eV per atom

abc: 4.6450 6.0156 6.7624
angles: 73.98 82.89 77.64
With the nearest neighbours (Å) after each atom.
Space group P-1 (No. 2)
Asymmetric unit:
Hg 0.1858 0.1412 0.1410  5 F 2.30-2.50
Os 0.0000 0.5000 0.5000  6 F 1.91-1.97
F 0.1126 0.4942 0.7737  1 Os 1.97
F 0.2678 0.2175 0.4519  1 Os 1.96
F 0.2731 0.6997 0.3635  1 Os 1.91
F 0.2883 0.9147 0.9082  3 Hg 2.30-2.39

Entry 8:
The following is a DFT calculation (PBE-GGA) of a relaxed structure of Hg2OsF6.

Offset from the most stable computed form: 0.025 eV per atom
Theoretical density: 7.205 g/cm3

abc: 5.2107 5.2107 6.9137
angles: 90.00 90.00 120.00
With the nearest neighbours (Å) after each atom.
Space group P-31m (No. 162)
Asymmetric unit:
Hg 0.3333 0.6667 0.0000  6 F 2.97, 3 Hg 3.01
Os 0.0000 0.0000 0.5000  6 F 1.91
F 0.0000 0.2962 0.6637  1 Os 1.91

Entry 9:
The following is a DFT calculation (PBE-GGA) of a relaxed structure of HgOs2F.

Offset from the most stable computed form: 0.000 eV per atom
Theoretical density: 14.778 g/cm3

abc: 3.5498 3.5498 21.4021
angles: 90.00 90.00 90.00
With the nearest neighbours (Å) after each atom.
Space group I-42d (No. 122)
Asymmetric unit:
Hg 0.0000 0.0000 0.0000  4 F 2.51
Os 0.2472 0.7500 0.6250  4 Os 2.50-2.52
F 0.0000 0.0000 0.5000  4 Hg 2.51

Entry 10:
The following is a DFT calculation (PBE-GGA) of a relaxed structure of Hg3OsF.

Offset from the most stable computed form: 0.308 eV per atom
Theoretical density: 13.312 g/cm3

abc: 4.6595 4.6595 4.6595
angles: 90.00 90.00 90.00
With the nearest neighbours (Å) after each atom.
Space group Pm-3m (No. 221)
Asymmetric unit:
Hg 0.0000 0.0000 0.5000  2 F 2.33
Os 0.5000 0.5000 0.5000  12 Hg 3.29
F 0.0000 0.0000 0.0000  6 Hg 2.33

Entry 11:
The following is a DFT calculation (PBE-GGA) of a relaxed structure of Hg3OsF.

Offset from the most stable computed form: 0.000 eV per atom
Theoretical density: 9.204 g/cm3

abc: 5.2694 5.2694 5.2694
angles: 90.00 90.00 90.00
With the nearest neighbours (Å) after each atom.
Space group Pm-3m (No. 221)
Asymmetric unit:
Hg 0.0000 0.0000 0.5000  2 Os 2.63
Os 0.0000 0.0000 0.0000  6 Hg 2.63
F 0.5000 0.5000 0.5000  12 Hg 3.73

Entry 12:
The following is a DFT calculation (PBE-GGA) of a relaxed structure of HgOs3F.

Offset from the most stable computed form: 1.389 eV per atom
Theoretical density: 10.006 g/cm3

abc: 5.0806 5.0806 5.0806
angles: 90.00 90.00 90.00
With the nearest neighbours (Å) after each atom.
Space group Pm-3m (No. 221)
Asymmetric unit:
Hg 0.0000 0.0000 0.0000  6 Os 2.54
Os 0.0000 0.0000 0.5000  2 Hg 2.54
F 0.5000 0.5000 0.5000  12 Os 3.59

Entry 13:
The following is a DFT calculation (PBE-GGA) of a relaxed structure of HgOs3F.

Offset from the most stable computed form: 0.000 eV per atom
Theoretical density: 16.612 g/cm3

abc: 4.2908 4.2908 4.2908
angles: 90.00 90.00 90.00
With the nearest neighbours (Å) after each atom.
Space group Pm-3m (No. 221)
Asymmetric unit:
Hg 0.0000 0.0000 0.0000  12 Os 3.03
Os 0.0000 0.5000 0.5000  2 F 2.15
F 0.5000 0.5000 0.5000  6 Os 2.15

Entry 14:
The following is a DFT calculation (PBE-GGA) of a relaxed structure of HgOs2F.

Offset from the most stable computed form: 0.611 eV per atom
Theoretical density: 15.831 g/cm3

abc: 6.3143 6.3143 6.3143
angles: 90.00 90.00 90.00
With the nearest neighbours (Å) after each atom.
Space group Fm-3m (No. 225)
Asymmetric unit:
Hg 0.0000 0.0000 0.0000  8 Os 2.73
Os 0.2500 0.2500 0.2500  4 F 2.73, 4 Hg 2.73
F 0.0000 0.0000 0.5000  8 Os 2.73

Entry 15:
The following is a DFT calculation (PBE-GGA) of a relaxed structure of Hg2OsF.

Offset from the most stable computed form: 0.000 eV per atom
Theoretical density: 13.888 g/cm3

abc: 6.6338 6.6338 6.6338
angles: 90.00 90.00 90.00
With the nearest neighbours (Å) after each atom.
Space group Fm-3m (No. 225)
Asymmetric unit:
Hg 0.2500 0.2500 0.2500  4 F 2.87, 4 Os 2.87
Os 0.0000 0.0000 0.0000  8 Hg 2.87
F 0.0000 0.0000 0.5000  8 Hg 2.87

Entry 16:
The following is a DFT calculation (PBE-GGA) of a relaxed structure of HgOs2F11.

Theoretical density: 5.398 g/cm3
DFT total energy: -4.714 eV per atom

abc: 9.4739 9.4889 10.8129
angles: 90.00 90.00 90.00
With the nearest neighbours (Å) after each atom.
Space group Ibam (No. 72)
Asymmetric unit:
Hg 0.0000 0.0000 0.2500  8 F 2.77-2.78
Os 0.1518 0.3456 0.0000  6 F 1.85-2.05
F 0.0000 0.5000 0.0000  2 Os 2.05
F 0.0460 0.2501 0.1249  1 Os 1.91
F 0.2112 0.2939 0.5000  1 Os 1.85
F 0.2488 0.4494 0.1252  1 Os 1.91

Entry 17:
The following is a DFT calculation (PBE-GGA) of a relaxed structure of HgOsF5.

Theoretical density: 5.848 g/cm3
DFT total energy: -4.397 eV per atom

abc: 11.1757 8.7235 7.5665
angles: 90.00 131.58 90.00
With the nearest neighbours (Å) after each atom.
Space group C2/c (No. 15)
Asymmetric unit:
Hg 0.0000 0.0202 0.2500  6 F 2.92-3.05
Os 0.0000 0.5000 0.0000  6 F 1.90-2.00
F 0.0000 0.4250 0.2500  2 Os 2.00
F 0.0126 0.2885 0.9515  1 Os 1.90
F 0.2309 0.4892 0.7328  1 Os 1.93

Entry 18:
The following is a DFT calculation (PBE-GGA) of a relaxed structure of Hg2OsF6.

Offset from the most stable computed form: 0.000 eV per atom
Theoretical density: 7.051 g/cm3

abc: 10.3748 5.4651 5.8603
angles: 90.00 90.26 90.00
With the nearest neighbours (Å) after each atom.
Space group C2/m (No. 12)
Asymmetric unit:
Hg 0.2215 0.0000 0.4974  2 Hg 2.80, 6 F 3.08-3.12
Os 0.0000 0.5000 0.0000  6 F 1.92
F 0.0003 0.2557 0.2350  1 Os 1.92
F 0.1848 0.5000 0.0012  1 Os 1.92

Entry 19:
The following is a DFT calculation (PBE-GGA) of a relaxed structure of Hg2OsF.

Offset from the most stable computed form: 0.198 eV per atom
Theoretical density: 11.868 g/cm3

abc: 4.3959 4.3959 17.6791
angles: 90.00 90.00 90.00
With the nearest neighbours (Å) after each atom.
Space group I-42d (No. 122)
Asymmetric unit:
Hg 0.2424 0.2500 0.1250  2 F 2.69, 2 Os 2.72
Os 0.0000 0.0000 0.5000  4 Hg 2.72
F 0.0000 0.0000 0.0000  4 Hg 2.69

Entry 20:
The following is a DFT calculation (PBE-GGA) of a relaxed structure of Hg2POsF.

Theoretical density: 11.023 g/cm3
DFT total energy: -3.077 eV per atom

abc: 5.1888 5.1888 3.5885
angles: 90.00 90.00 90.00
With the nearest neighbours (Å) after each atom.
Space group P4/mmm (No. 123)
Asymmetric unit:
Hg 0.0000 0.5000 0.0000  2 P 2.59
P 0.0000 0.0000 0.0000  2 F 1.79
Os 0.5000 0.5000 0.5000  8 Hg 3.15
F 0.0000 0.0000 0.5000  2 P 1.79